1.
ZrZnInFe | PBE | relaxed

The value obtained for the total magnetization is 0.323 μB/atom. The crystal system is cubic. Its electronic total energy is -5.316 eV per atom.

The space group is F-43m (No. 216) and the conventional cell measures 6.493, 6.493 and 6.493 Å, with angles of 90.00, 90.00 and 90.00 degrees. Symmetry generates all atoms from Zr at (0.000, 0.000, 0.000), Zn at (0.250, 0.250, 0.750), In at (0.000, 0.000, 0.500) and Fe at (0.250, 0.250, 0.250).

2.
Zr6InFe2 | PBE | relaxed

The value obtained for the total magnetization is 0.000 μB/atom. The crystal system is orthorhombic. Its electronic total energy is -8.021 eV per atom.

The space group is Immm (No. 71) and the conventional cell measures 8.579, 8.844 and 9.752 Å, with angles of 90.00, 90.00 and 90.00 degrees. Symmetry generates all atoms from Zr at (0.000, 0.210, 0.233), Zr at (0.192, 0.500, 0.174), Zr at (0.199, 0.315, 0.500), In at (0.000, 0.000, 0.000), In at (0.000, 0.000, 0.500), Fe at (0.000, 0.336, 0.000) and Fe at (0.000, 0.500, 0.367).